Entry 1:
Below is Ac2TiNiS5 after structural relaxation, with properties calculated at the GGA-PBE level.

Values from the calculation:
DOS at the Fermi energy ... 2.32 states/eV/cell
VASP energy ... -6.364 eV/atom
Space-group type ... Cmc2_1

Unit cell a=8.766 b=8.766 c=11.719 alpha=90.00 beta=90.00 gamma=154.30
Element x y z (fractional)
Ac1 0.117 0.883 0.500
Ac2 0.127 0.873 0.119
Ac3 0.873 0.127 0.619
Ac4 0.883 0.117 0.000
Ti1 0.185 0.815 0.815
Ti2 0.815 0.185 0.315
Ni1 0.422 0.578 0.250
Ni2 0.578 0.422 0.750
S1 0.051 0.949 0.847
S2 0.294 0.706 0.461
S3 0.304 0.696 0.175
S4 0.342 0.658 0.813
S5 0.498 0.502 0.090
S6 0.502 0.498 0.590
S7 0.658 0.342 0.313
S8 0.696 0.304 0.675
S9 0.706 0.294 0.961
S10 0.949 0.051 0.347

---

Entry 2:
Below is Ac2TiNiS6 after structural relaxation, with properties calculated at the GGA-PBE level.

Values from the calculation:
DOS at the Fermi energy ... 4.56 states/eV/cell
VASP energy ... -6.067 eV/atom
Space-group type ... Pmmn

Unit cell a=6.658 b=9.345 c=6.658 alpha=90.00 beta=90.00 gamma=90.00
Element x y z (fractional)
Ac1 0.250 0.000 0.249
Ac2 0.250 0.500 0.249
Ac3 0.750 0.000 0.751
Ac4 0.750 0.500 0.751
Ti1 0.250 0.250 0.749
Ti2 0.750 0.750 0.251
Ni1 0.250 0.750 0.750
Ni2 0.750 0.250 0.250
S1 0.004 0.750 0.504
S2 0.004 0.750 0.996
S3 0.250 0.505 0.750
S4 0.250 0.995 0.750
S5 0.496 0.750 0.504
S6 0.496 0.750 0.996
S7 0.504 0.250 0.004
S8 0.504 0.250 0.496
S9 0.750 0.005 0.250
S10 0.750 0.495 0.250
S11 0.996 0.250 0.004
S12 0.996 0.250 0.496

---

Entry 3:
Below is Ac2TmNiS5 after structural relaxation, with properties calculated at the GGA-PBE level.

Values from the calculation:
DOS at the Fermi energy ... 10.25 states/eV/cell
VASP energy ... -6.153 eV/atom
Space-group type ... Cmc2_1

Unit cell a=8.671 b=8.671 c=12.273 alpha=90.00 beta=90.00 gamma=153.29
Element x y z (fractional)
Ac1 0.119 0.881 0.500
Ac2 0.121 0.879 0.854
Ac3 0.879 0.121 0.354
Ac4 0.881 0.119 0.000
Tm1 0.179 0.821 0.180
Tm2 0.821 0.179 0.680
Ni1 0.445 0.555 0.584
Ni2 0.555 0.445 0.084
S1 0.022 0.978 0.165
S2 0.305 0.695 0.833
S3 0.311 0.689 0.527
S4 0.340 0.660 0.176
S5 0.499 0.501 0.916
S6 0.501 0.499 0.416
S7 0.660 0.340 0.676
S8 0.689 0.311 0.027
S9 0.695 0.305 0.333
S10 0.978 0.022 0.665

---

Entry 4:
Below is Ac2UNiS5 after structural relaxation, with properties calculated at the GGA-PBE level.

Values from the calculation:
DOS at the Fermi energy ... 12.96 states/eV/cell
VASP energy ... -6.756 eV/atom
Space-group type ... Cmc2_1

Unit cell a=8.625 b=8.625 c=12.448 alpha=90.00 beta=90.00 gamma=153.24
Element x y z (fractional)
Ac1 0.119 0.881 0.500
Ac2 0.119 0.881 0.853
Ac3 0.881 0.119 0.000
Ac4 0.881 0.119 0.353
U1 0.176 0.824 0.179
U2 0.824 0.176 0.679
Ni1 0.441 0.559 0.575
Ni2 0.559 0.441 0.075
S1 0.022 0.978 0.158
S2 0.305 0.695 0.832
S3 0.311 0.689 0.527
S4 0.340 0.660 0.176
S5 0.496 0.504 0.912
S6 0.504 0.496 0.412
S7 0.660 0.340 0.676
S8 0.689 0.311 0.027
S9 0.695 0.305 0.332
S10 0.978 0.022 0.658

---

Entry 5:
Below is Ac2UNiS6 after structural relaxation, with properties calculated at the GGA-PBE level.

Values from the calculation:
DOS at the Fermi energy ... 6.62 states/eV/cell
VASP energy ... -6.374 eV/atom
Space-group type ... P4/mmm

Unit cell a=4.991 b=4.991 c=9.473 alpha=90.00 beta=90.00 gamma=90.00
Element x y z (fractional)
Ac1 0.000 0.000 0.210
Ac2 0.000 0.000 0.790
U1 0.500 0.500 0.500
Ni1 0.500 0.500 0.000
S1 0.000 0.500 0.000
S2 0.000 0.500 0.500
S3 0.500 0.000 0.000
S4 0.500 0.000 0.500
S5 0.500 0.500 0.232
S6 0.500 0.500 0.768

---

Entry 6:
Below is AcU3Ni4S12 after structural relaxation, with properties calculated at the GGA-PBE level.

Values from the calculation:
DOS at the Fermi energy ... 21.38 states/eV/cell
VASP energy ... -6.375 eV/atom
Space-group type ... R32

Unit cell a=8.269 b=8.269 c=8.269 alpha=105.29 beta=105.29 gamma=105.29
Element x y z (fractional)
Ac1 0.000 0.000 0.000
U1 0.000 0.561 0.439
U2 0.439 0.000 0.561
U3 0.561 0.439 0.000
Ni1 0.071 0.500 0.929
Ni2 0.500 0.500 0.500
Ni3 0.500 0.929 0.071
Ni4 0.929 0.071 0.500
S1 0.022 0.659 0.767
S2 0.092 0.908 0.500
S3 0.233 0.341 0.978
S4 0.340 0.660 0.500
S5 0.341 0.978 0.233
S6 0.500 0.092 0.908
S7 0.500 0.340 0.660
S8 0.659 0.767 0.022
S9 0.660 0.500 0.340
S10 0.767 0.022 0.659
S11 0.908 0.500 0.092
S12 0.978 0.233 0.341

---

Entry 7:
Below is AcU4Ni3S12 after structural relaxation, with properties calculated at the GGA-PBE level.

Values from the calculation:
DOS at the Fermi energy ... 21.70 states/eV/cell
VASP energy ... -6.836 eV/atom
Space-group type ... Im-3

Unit cell a=8.334 b=8.334 c=8.334 alpha=109.47 beta=109.47 gamma=109.47
Element x y z (fractional)
Ac1 0.000 0.000 0.000
U1 0.000 0.000 0.500
U2 0.000 0.500 0.000
U3 0.500 0.000 0.000
U4 0.500 0.500 0.500
Ni1 0.000 0.500 0.500
Ni2 0.500 0.000 0.500
Ni3 0.500 0.500 0.000
S1 0.155 0.316 0.471
S2 0.155 0.684 0.838
S3 0.162 0.845 0.316
S4 0.316 0.162 0.845
S5 0.316 0.471 0.155
S6 0.471 0.155 0.316
S7 0.529 0.845 0.684
S8 0.684 0.529 0.845
S9 0.684 0.838 0.155
S10 0.838 0.155 0.684
S11 0.845 0.316 0.162
S12 0.845 0.684 0.529

---

Entry 8:
Below is Ac2NiSb after structural relaxation, with properties calculated at the GGA-PBE level.

Values from the calculation:
DOS at the Fermi energy ... 5.09 states/eV/cell
VASP energy ... -4.923 eV/atom
Space-group type ... Fm-3m

Unit cell a=5.563 b=5.563 c=5.563 alpha=60.00 beta=60.00 gamma=60.00
Element x y z (fractional)
Ac1 0.250 0.250 0.250
Ac2 0.750 0.750 0.750
Ni1 0.000 0.000 0.000
Sb1 0.500 0.500 0.500

---

Entry 9:
Below is AcNiSb2 after structural relaxation, with properties calculated at the GGA-PBE level.

Values from the calculation:
DOS at the Fermi energy ... 3.06 states/eV/cell
VASP energy ... -4.955 eV/atom
Space-group type ... R-3m

Unit cell a=6.351 b=6.351 c=6.351 alpha=42.30 beta=42.30 gamma=42.30
Element x y z (fractional)
Ac1 0.000 0.000 0.000
Ni1 0.500 0.500 0.500
Sb1 0.215 0.215 0.215
Sb2 0.785 0.785 0.785

---

Entry 10:
Below is Ac4NiSb2 after structural relaxation, with properties calculated at the GGA-PBE level.

Values from the calculation:
DOS at the Fermi energy ... 5.29 states/eV/cell
VASP energy ... -4.990 eV/atom
Space-group type ... I4/mmm

Unit cell a=9.763 b=9.763 c=9.763 alpha=148.47 beta=148.47 gamma=45.19
Element x y z (fractional)
Ac1 0.000 0.500 0.500
Ac2 0.174 0.174 0.000
Ac3 0.500 0.000 0.500
Ac4 0.826 0.826 0.000
Ni1 0.000 0.000 0.000
Sb1 0.363 0.363 0.000
Sb2 0.637 0.637 0.000

---

Entry 11:
Below is AcNiSb2 after structural relaxation, with properties calculated at the GGA-PBE level.

Values from the calculation:
DOS at the Fermi energy ... 4.14 states/eV/cell
VASP energy ... -4.772 eV/atom
Space-group type ... P4/mmm

Unit cell a=4.719 b=4.719 c=4.680 alpha=90.00 beta=90.00 gamma=90.00
Element x y z (fractional)
Ac1 0.000 0.000 0.000
Ni1 0.500 0.500 0.000
Sb1 0.000 0.500 0.500
Sb2 0.500 0.000 0.500

---

Entry 12:
Below is AcNi3Sb3 after structural relaxation, with properties calculated at the GGA-PBE level.

Values from the calculation:
DOS at the Fermi energy ... 10.15 states/eV/cell
VASP energy ... -5.144 eV/atom
Space-group type ... Pm-3n

Unit cell a=6.925 b=6.925 c=6.925 alpha=90.00 beta=90.00 gamma=90.00
Element x y z (fractional)
Ac1 0.000 0.000 0.000
Ac2 0.500 0.500 0.500
Ni1 0.000 0.250 0.500
Ni2 0.000 0.750 0.500
Ni3 0.250 0.500 0.000
Ni4 0.500 0.000 0.250
Ni5 0.500 0.000 0.750
Ni6 0.750 0.500 0.000
Sb1 0.000 0.500 0.250
Sb2 0.000 0.500 0.750
Sb3 0.250 0.000 0.500
Sb4 0.500 0.250 0.000
Sb5 0.500 0.750 0.000
Sb6 0.750 0.000 0.500